a:
PBE SrZn4Pd, optimized geometry; V = 20.5 Å³/atom; total moment = 0.0 μB/cell
1.0
-3.507 2.688 -2.315
-4.383 -5.485 0.272
-0.641 0.877 7.363
Zn Pd Sr
8 2 2
Cartesian
-5.606 -0.496 2.543
-1.319 0.586 2.678
-7.212 -2.506 2.642
-5.637 -2.217 0.592
-2.192 -2.743 0.136
-2.925 -1.424 2.778
-2.894 0.297 4.729
0.000 0.000 0.000
-3.895 -3.550 1.778
-4.636 1.630 3.542
-3.343 0.431 0.191
-5.188 -2.351 5.130

=====

b:
PBE SrZn4Pd, optimized geometry; V = 17.8 Å³/atom; total moment = 0.0 μB/cell
1.0
5.324 0.000 0.000
2.662 4.611 0.000
2.662 1.537 4.347
Zn Pd Sr
4 1 1
Cartesian
5.324 1.510 2.727
5.324 3.074 0.514
3.969 3.856 2.727
6.679 3.856 2.727
0.000 0.000 0.000
2.662 1.537 1.087

=====

Energies relative to the most stable structure, in eV/atom: a 0.030; b 0.000.

=====

a:
PBE Sr3Zn2Pd4, optimized geometry; V = 23.4 Å³/atom; total moment = 0.0 μB/cell
1.0
4.513 0.000 0.000
-2.256 5.588 -0.195
0.000 -2.531 8.442
Sr Pd Zn
3 4 2
Cartesian
0.000 0.000 0.000
0.000 3.359 2.413
2.256 -0.302 5.834
2.256 2.275 0.525
0.000 0.782 7.722
0.000 0.028 3.566
2.256 3.029 4.682
2.256 1.072 2.791
0.000 1.984 5.456

=====

b:
PBE Sr3Zn2Pd4, optimized geometry; V = 23.6 Å³/atom; total moment = 0.0 μB/cell
1.0
-0.761 0.026 4.339
-3.922 -3.343 -2.905
6.558 -5.977 1.186
Pd Zn Sr
4 2 3
Cartesian
-1.795 -2.051 1.933
-1.526 -4.872 1.997
3.670 -7.244 0.687
3.402 -4.423 0.623
3.195 -5.881 2.831
-1.319 -3.413 -0.211
0.000 0.000 0.000
0.801 -6.220 0.177
1.075 -3.074 2.443

=====

Energies relative to the most stable structure, in eV/atom: a 0.035; b 0.000.

=====

a:
PBE Sr3ZnPd, optimized geometry; V = 41.0 Å³/atom; total moment = 0.0 μB/cell
1.0
-1.454 -4.936 2.878
5.366 -0.159 2.437
-1.962 3.220 4.532
Sr Zn Pd
3 1 1
Cartesian
2.683 -0.080 1.218
-0.981 1.610 2.266
-0.727 -2.468 1.439
0.975 -0.937 4.923
0.000 0.000 0.000

=====

b:
PBE Sr3ZnPd, optimized geometry; V = 35.0 Å³/atom; total moment = 0.0 μB/cell
1.0
-0.211 -3.371 -2.777
6.597 -2.416 2.433
-2.998 -6.618 8.260
Pd Sr Zn
2 6 2
Cartesian
3.782 -9.596 6.199
-0.393 -2.808 1.717
0.005 -5.904 2.003
1.311 -3.517 -0.993
2.078 -8.887 8.910
3.383 -6.500 5.913
4.066 -6.090 1.921
-0.677 -6.315 5.996
1.267 -9.056 5.734
2.122 -3.348 2.182

=====

Energies relative to the most stable structure, in eV/atom: a 0.171; b 0.000.

=====

a:
PBE SrZn3Pd3, optimized geometry; V = 23.4 Å³/atom; total moment = 0.0 μB/cell
1.0
6.889 0.000 0.000
0.000 6.889 0.000
0.000 0.000 6.889
Pd Zn Sr
6 6 2
Cartesian
5.167 0.000 3.444
0.000 3.444 5.167
3.444 1.722 0.000
0.000 3.444 1.722
1.722 0.000 3.444
3.444 5.167 0.000
0.000 5.167 3.444
0.000 1.722 3.444
1.722 3.444 0.000
5.167 3.444 0.000
3.444 0.000 1.722
3.444 0.000 5.167
3.444 3.444 3.444
0.000 0.000 0.000

=====

b:
PBE SrZn3Pd3, optimized geometry; V = 18.7 Å³/atom; total moment = 0.0 μB/cell
1.0
7.270 0.000 0.000
3.635 6.296 0.000
3.635 2.099 5.734
Zn Pd Sr
6 6 2
Cartesian
7.270 1.614 3.217
9.508 5.489 3.217
9.508 2.906 2.517
5.033 2.906 2.517
5.033 5.489 3.217
7.270 6.781 2.517
5.841 0.825 1.159
3.635 4.646 1.159
13.111 7.570 4.575
8.699 7.570 4.575
1.429 0.825 1.159
10.905 3.749 4.575
7.270 4.197 0.567
7.270 4.197 5.167

=====

Energies relative to the most stable structure, in eV/atom: a 0.209; b 0.000.

=====

a:
PBE SrZn9Pd2, optimized geometry; V = 16.9 Å³/atom; total moment = 0.0 μB/cell
1.0
6.400 0.000 2.946
3.200 7.585 1.473
0.028 0.000 8.363
Zn Pd Sr
18 4 2
Cartesian
5.454 6.300 5.971
7.374 6.300 8.285
1.531 2.507 8.340
3.383 6.936 4.318
2.268 5.078 8.679
4.134 3.143 8.838
6.231 4.442 4.284
1.517 1.285 4.159
2.308 0.649 6.653
2.294 3.143 2.471
3.045 6.936 6.992
4.120 0.649 4.657
4.160 5.078 2.630
4.897 2.507 2.969
4.911 1.285 7.151
6.597 4.442 9.972
6.414 3.792 7.128
0.000 0.000 0.000
8.007 5.689 5.774
6.407 1.896 5.037
6.421 1.896 9.219
4.821 5.689 8.482
3.214 3.792 5.655
3.200 0.000 1.473

=====

b:
PBE SrZn9Pd2, optimized geometry; V = 18.2 Å³/atom; total moment = 0.0 μB/cell
1.0
3.504 0.000 0.000
0.000 8.485 0.000
0.000 -4.242 7.348
Zn Pd Sr
9 2 1
Cartesian
1.752 -1.762 5.916
1.752 4.242 4.484
0.000 2.121 3.674
1.752 0.000 2.864
1.752 6.004 1.432
1.752 2.481 1.432
0.000 -2.121 3.674
1.752 1.762 5.916
0.000 4.242 0.000
0.000 0.000 4.899
0.000 4.242 2.449
0.000 0.000 0.000

=====

Energies relative to the most stable structure, in eV/atom: a 0.000; b 0.110.

=====

a:
PBE Sr2Zr2Pd, optimized geometry; V = 29.2 Å³/atom; total moment = 0.0 μB/cell
1.0
-1.724 -2.530 6.385
5.102 -4.879 -0.556
3.786 3.677 2.479
Sr Pd Zr
4 2 4
Cartesian
2.242 0.157 3.201
4.922 -3.889 5.107
5.043 -1.915 1.995
2.121 -1.817 6.313
0.000 0.000 0.000
1.689 -3.704 2.915
-0.375 -2.333 4.033
3.753 -5.075 1.796
1.567 -2.101 0.723
1.812 -5.308 5.106

=====

b:
PBE Sr2Zr2Pd, optimized geometry; V = 31.1 Å³/atom; total moment = 0.0 μB/cell
1.0
9.391 0.000 0.000
0.000 9.391 0.000
0.000 0.000 3.522
Zr Sr Pd
4 4 2
Cartesian
0.936 5.631 1.761
8.455 3.759 1.761
3.759 0.936 1.761
5.631 8.455 1.761
1.858 2.837 0.000
6.553 1.858 0.000
2.837 7.532 0.000
7.532 6.553 0.000
4.695 4.695 0.000
0.000 0.000 0.000

=====

Energies relative to the most stable structure, in eV/atom: a 0.000; b 0.667.